The following is a PBE-GGA calculation of a relaxed ZrTl2SnSe4 crystal, from Alexandria via LeMat-Bulk.

Cell lengths 4.0843, 7.9296, 7.3347 Å; angles 73.57, 90.00, 90.00 degrees
Closest atoms and distances in Å follow each position.
Sites, in units of the cell vectors:
Zr: 0.0000 0.5000 0.5000  6 Se 2.72-2.78
Tl: 0.0000 0.0000 0.0000  6 Se 3.38-3.41
Tl: 0.5000 0.0000 0.5000  6 Se 3.22-3.23
Sn: 0.5000 0.5000 0.0000  6 Se 2.95
Se: 0.0000 0.7050 0.7405  1 Zr 2.72, 2 Sn 2.95
Se: 0.0000 0.2951 0.2595  1 Zr 2.72, 2 Sn 2.95
Se: 0.5000 0.6981 0.2846  2 Zr 2.78, 1 Sn 2.95
Se: 0.5000 0.3019 0.7154  2 Zr 2.78, 1 Sn 2.95

---

The following is a PBE-GGA calculation of a relaxed Tm3SnSe crystal, from Alexandria via LeMat-Bulk.

Cell lengths 6.5552, 8.9233, 10.7089 Å; angles 118.02, 90.00, 90.00 degrees
Closest atoms and distances in Å follow each position.
Sites, in units of the cell vectors:
Tm: 0.0955 0.7193 0.6737  3 Se 2.72-2.81
Tm: 0.9045 0.2807 0.3263  3 Se 2.72-2.81
Tm: 0.5955 0.7807 0.8263  3 Se 2.72-2.81
Tm: 0.4045 0.2193 0.1737  3 Se 2.72-2.81
Tm: 0.5827 0.6680 0.4678  2 Se 2.70-2.81
Tm: 0.4173 0.3320 0.5322  2 Se 2.70-2.81
Tm: 0.0827 0.8320 0.0322  2 Se 2.70-2.81
Tm: 0.9173 0.1680 0.9678  2 Se 2.70-2.81
Tm: 0.1838 0.5752 0.1692  1 Se 2.86
Tm: 0.8162 0.4248 0.8308  1 Se 2.86
Tm: 0.6838 0.9248 0.3308  1 Se 2.86
Tm: 0.3162 0.0752 0.6692  1 Se 2.86
Sn: 0.8043 0.0057 0.6537  7 Tm 3.06-3.40
Sn: 0.1957 0.9943 0.3463  7 Tm 3.06-3.40
Sn: 0.3043 0.4943 0.8463  7 Tm 3.06-3.40
Sn: 0.6957 0.5057 0.1537  7 Tm 3.06-3.40
Se: 0.2225 0.5013 0.4004  6 Tm 2.70-2.86
Se: 0.7775 0.4987 0.5996  6 Tm 2.70-2.86
Se: 0.7225 0.9987 0.0996  6 Tm 2.70-2.86
Se: 0.2775 0.0013 0.9004  6 Tm 2.70-2.86

---

The following is a PBE-GGA calculation of a relaxed TmSn3Se6 crystal, from Alexandria via LeMat-Bulk.

Cell lengths 4.0247, 12.4986, 11.6298 Å; angles 110.72, 90.00, 90.00 degrees
Closest atoms and distances in Å follow each position.
Sites, in units of the cell vectors:
Tm: 0.7500 0.0447 0.7055  8 Se 2.94-3.02
Tm: 0.2500 0.9553 0.2945  8 Se 2.94-3.02
Sn: 0.7500 0.4423 0.8398  3 Se 2.76-2.89
Sn: 0.2500 0.5577 0.1602  3 Se 2.76-2.89
Sn: 0.7500 0.7281 0.4642  6 Se 2.70-2.92
Sn: 0.2500 0.2719 0.5358  6 Se 2.70-2.92
Sn: 0.7500 0.1680 0.1078  6 Se 2.80-3.12
Sn: 0.2500 0.8320 0.8922  6 Se 2.80-3.12
Se: 0.7500 0.4290 0.5865  3 Sn 2.73-2.89
Se: 0.2500 0.5710 0.4135  3 Sn 2.73-2.89
Se: 0.7500 0.9422 0.1061  3 Sn 2.82-3.12, 2 Tm 2.94
Se: 0.2500 0.0578 0.8939  3 Sn 2.82-3.12, 2 Tm 2.94
Se: 0.7500 0.3961 0.0916  3 Sn 2.76-2.92
Se: 0.2500 0.6039 0.9084  3 Sn 2.76-2.92
Se: 0.7500 0.7725 0.2535  1 Sn 2.70, 2 Tm 2.95
Se: 0.2500 0.2275 0.7465  1 Sn 2.70, 2 Tm 2.95
Se: 0.7500 0.0913 0.4749  2 Sn 2.92, 3 Tm 2.94-2.97, 2 Se 3.25
Se: 0.2500 0.9087 0.5251  2 Sn 2.92, 3 Tm 2.94-2.97, 2 Se 3.25
Se: 0.7500 0.8076 0.7176  3 Sn 2.76-2.80, 1 Tm 3.02
Se: 0.2500 0.1924 0.2824  3 Sn 2.76-2.80, 1 Tm 3.02

---

The following is a PBE-GGA calculation of a relaxed Tm4SnSe2 crystal, from Alexandria via LeMat-Bulk.

Results
ΔE to the lowest computed polymorph ... 0.000 eV/atom

Cell lengths 4.1439, 6.7805, 13.4853 Å; angles 90.00, 90.00, 107.79 degrees
Closest atoms and distances in Å follow each position.
Sites, in units of the cell vectors:
Tm: 0.2304 0.4608 0.6253  3 Se 2.75-2.85
Tm: 0.7696 0.5392 0.3747  3 Se 2.75-2.85
Tm: 0.7696 0.5392 0.1253  3 Se 2.75-2.85
Tm: 0.2304 0.4608 0.8747  3 Se 2.75-2.85
Tm: 0.9356 0.8712 0.7500  2 Se 2.75, 2 Sn 3.02
Tm: 0.0644 0.1288 0.2500  2 Se 2.75, 2 Sn 3.02
Tm: 0.5000 0.0000 0.0000  4 Se 2.82
Tm: 0.5000 0.0000 0.5000  4 Se 2.82
Sn: 0.3938 0.7876 0.2500  6 Tm 3.02-3.11
Sn: 0.6062 0.2124 0.7500  6 Tm 3.02-3.11
Se: 0.8641 0.7281 0.9423  6 Tm 2.75-2.85
Se: 0.1359 0.2719 0.0577  6 Tm 2.75-2.85
Se: 0.8641 0.7281 0.5577  6 Tm 2.75-2.85
Se: 0.1359 0.2719 0.4423  6 Tm 2.75-2.85

---

The following is a PBE-GGA calculation of a relaxed Tm2SnSe5 crystal, from Alexandria via LeMat-Bulk.

Cell lengths 5.6853, 7.5596, 13.0395 Å; angles 90.00, 90.00, 112.09 degrees
Closest atoms and distances in Å follow each position.
Sites, in units of the cell vectors:
Tm: 0.8335 0.6669 0.4324  6 Se 2.77-2.87
Tm: 0.8335 0.6669 0.0676  6 Se 2.77-2.87
Tm: 0.1665 0.3331 0.5676  6 Se 2.77-2.87
Tm: 0.1665 0.3331 0.9324  6 Se 2.77-2.87
Sn: 0.8143 0.6286 0.7500  6 Se 2.80-2.97
Sn: 0.1857 0.3714 0.2500  6 Se 2.80-2.97
Se: 0.9684 0.9368 0.9068  1 Se 2.59, 2 Tm 2.80-2.82
Se: 0.9684 0.9368 0.5932  1 Se 2.59, 2 Tm 2.80-2.82
Se: 0.3108 0.6217 0.4179  1 Sn 2.80, 3 Tm 2.81-2.87
Se: 0.3108 0.6217 0.0821  1 Sn 2.80, 3 Tm 2.81-2.87
Se: 0.7321 0.4643 0.2500  2 Tm 2.77, 2 Sn 2.92
Se: 0.2679 0.5357 0.7500  2 Tm 2.77, 2 Sn 2.92
Se: 0.6892 0.3783 0.5821  1 Sn 2.80, 3 Tm 2.81-2.87
Se: 0.6892 0.3783 0.9179  1 Sn 2.80, 3 Tm 2.81-2.87
Se: 0.0316 0.0632 0.0932  1 Se 2.59, 2 Tm 2.80-2.82
Se: 0.0316 0.0632 0.4068  1 Se 2.59, 2 Tm 2.80-2.82

---

The following is a PBE-GGA calculation of a relaxed Tm2SnSe crystal, from Alexandria via LeMat-Bulk.

Results
ΔE to the lowest computed polymorph ... 0.036 eV/atom

Cell lengths 4.1652, 4.1652, 7.3696 Å; angles 89.99, 106.42, 120.01 degrees
Closest atoms and distances in Å follow each position.
Sites, in units of the cell vectors:
Tm: 0.5048 0.2524 0.7572  3 Se 2.94, 3 Sn 3.00
Tm: 0.4952 0.7476 0.2428  3 Se 2.94, 3 Sn 3.00
Sn: 0.0000 0.5000 0.5000  6 Tm 3.00
Se: 0.0000 0.0000 0.0000  6 Tm 2.94

---

The evaluated uncorrected energy for the records listed, in turn: -0.344; -0.368; -0.326; -0.389; -0.367; -0.386 Ry per atom.
The evaluated formation energy from raw total energies for the records listed, in turn: -0.773; -0.831; -0.694; -1.170; -1.192; -1.148 eV/atom.